{"formula": "Li2ScBr", "functional": "PBE", "state": "relaxed", "lattice_angstrom": [[3.6856, 0.0000, 0.0000], [0.0000, 3.6839, 0.0000], [0.0000, 0.0000, 6.0310]], "species": ["Br", "Li", "Li", "Sc"], "frac_coords": [[0.5000, 0.5000, 0.7500], [0.0000, 0.0000, 0.9926], [0.0000, 0.0000, 0.5074], [0.5000, 0.5000, 0.2500]], "dos_at_fermi_per_ev_atom": 0.57, "e_form_raw_ev_per_atom": -0.32, "energy_ev_per_atom": -3.28, "space_group": "No. 123", "relative_energy_ev_per_fu": 0.57}